[1]
Density functional theory data (PBE-GGA) for a relaxed structure of TmPa3Sn12.

Cell and atoms, written as POSCAR:
```
TmPa3Sn12
1.0
4.675 0.000 0.000
0.000 4.675 0.000
0.000 0.000 18.456
Tm Pa Sn
1 3 12
Cartesian
0.000 0.000 0.000 Tm
0.000 0.000 4.659 Pa
0.000 0.000 9.228 Pa
0.000 0.000 13.797 Pa
2.338 2.338 0.000 Sn
2.338 2.338 4.617 Sn
2.338 2.338 9.228 Sn
2.338 2.338 13.839 Sn
2.338 0.000 2.309 Sn
2.338 0.000 6.931 Sn
2.338 0.000 11.526 Sn
2.338 0.000 16.147 Sn
0.000 2.338 2.309 Sn
0.000 2.338 6.931 Sn
0.000 2.338 11.526 Sn
0.000 2.338 16.147 Sn
```

Computed properties:
The calculation puts the total magnetization at 0.00 μB per atom. The value obtained for the density is 9.41 g/cm³. The formation enthalpy at 0 K comes out at -0.31 eV/atom.

[2]
Density functional theory data (PBE-GGA) for a relaxed structure of TmPa2Sn9.

Cell and atoms, written as POSCAR:
```
TmPa2Sn9
1.0
4.656 0.000 0.000
0.000 4.656 0.000
0.000 0.000 13.992
Tm Pa Sn
1 2 9
Cartesian
0.000 0.000 0.000 Tm
0.000 0.000 4.711 Pa
0.000 0.000 9.281 Pa
2.328 2.328 0.000 Sn
2.328 2.328 4.668 Sn
2.328 2.328 9.325 Sn
2.328 0.000 2.346 Sn
2.328 0.000 6.996 Sn
2.328 0.000 11.646 Sn
0.000 2.328 2.346 Sn
0.000 2.328 6.996 Sn
0.000 2.328 11.646 Sn
```

Computed properties:
The calculation puts the total magnetization at 0.00 μB per atom. The value obtained for the density is 9.30 g/cm³. The formation enthalpy at 0 K comes out at -0.31 eV/atom.

[3]
Density functional theory data (PBE-GGA) for a relaxed structure of TmPaSn6.

Cell and atoms, written as POSCAR:
```
TmPaSn6
1.0
4.661 0.000 0.000
0.000 4.661 0.000
0.000 0.000 9.354
Tm Pa Sn
1 1 6
Cartesian
0.000 0.000 4.677 Tm
0.000 0.000 0.000 Pa
2.330 2.330 0.000 Sn
2.330 2.330 4.677 Sn
2.330 0.000 2.338 Sn
2.330 0.000 7.015 Sn
0.000 2.330 2.338 Sn
0.000 2.330 7.015 Sn
```

Computed properties:
The calculation puts the total magnetization at 0.00 μB per atom. The value obtained for the density is 9.09 g/cm³. The formation enthalpy at 0 K comes out at -0.32 eV/atom.

[4]
Density functional theory data (PBE-GGA) for a relaxed structure of Tm2PaSn.

Cell and atoms, written as POSCAR:
```
Tm2PaSn
1.0
4.544 0.000 0.000
0.000 4.786 0.000
0.000 0.000 4.786
Pa Tm Sn
1 2 1
Cartesian
2.272 0.000 0.000 Pa
0.000 0.000 2.393 Tm
0.000 2.393 0.000 Tm
2.272 2.393 2.393 Sn
```

Computed properties:
The calculation puts the total magnetization at 0.00 μB per atom. The energy above the most stable polymorph in this dataset is 0 meV/atom. The value obtained for the density is 10.97 g/cm³. The formation enthalpy at 0 K comes out at -0.20 eV/atom.

[5]
Density functional theory data (PBE-GGA) for a relaxed structure of TmPaSn.

Cell and atoms, written as POSCAR:
```
TmPaSn
1.0
-2.606 -1.500 4.884
-2.213 -1.677 -1.696
3.950 -8.012 -0.354
Tm Pa Sn
2 2 2
Cartesian
-0.747 -7.654 2.301 Tm
-0.122 -3.535 0.533 Tm
-1.303 -0.750 2.442 Pa
0.000 0.000 0.000 Pa
-2.531 -5.123 2.127 Sn
1.663 -6.066 0.707 Sn
```

Computed properties:
The calculation puts the total magnetization at 0.00 μB per atom. The energy above the most stable polymorph in this dataset is 0 meV/atom. The value obtained for the density is 10.50 g/cm³. The formation enthalpy at 0 K comes out at -0.09 eV/atom.

[6]
Density functional theory data (PBE-GGA) for a relaxed structure of TmPaSn.

Cell and atoms, written as POSCAR:
```
TmPaSn
1.0
3.125 0.000 0.000
0.000 3.125 0.000
-1.562 -1.562 8.574
Pa Tm Sn
1 1 1
Cartesian
1.562 1.562 7.678 Pa
1.562 1.562 4.651 Tm
0.000 0.000 2.247 Sn
```

Computed properties:
The calculation puts the total magnetization at 0.40 μB per atom. The energy above the most stable polymorph in this dataset is 516 meV/atom. The value obtained for the density is 10.29 g/cm³. The formation enthalpy at 0 K comes out at 0.43 eV/atom.

[7]
Density functional theory data (PBE-GGA) for a relaxed structure of TmPaSn.

Cell and atoms, written as POSCAR:
```
TmPaSn
1.0
3.130 0.000 0.000
0.000 5.299 0.000
0.000 -2.650 4.589
Pa Tm Sn
1 1 1
Cartesian
0.524 0.000 3.060 Pa
0.519 0.000 0.000 Tm
2.087 2.650 1.530 Sn
```

Computed properties:
The calculation puts the total magnetization at 0.28 μB per atom. The energy above the most stable polymorph in this dataset is 243 meV/atom. The value obtained for the density is 11.31 g/cm³. The formation enthalpy at 0 K comes out at 0.15 eV/atom.

[8]
Density functional theory data (PBE-GGA) for a relaxed structure of Tm2PaSn.

Cell and atoms, written as POSCAR:
```
Tm2PaSn
1.0
5.284 0.000 0.000
2.642 4.576 0.000
2.642 1.525 4.315
Pa Tm Sn
1 2 1
Cartesian
5.284 3.051 2.157 Pa
2.642 1.525 1.079 Tm
7.926 4.576 3.236 Tm
0.000 0.000 0.000 Sn
```

Computed properties:
The calculation puts the total magnetization at 0.35 μB per atom. The energy above the most stable polymorph in this dataset is 227 meV/atom. The value obtained for the density is 10.94 g/cm³. The formation enthalpy at 0 K comes out at 0.03 eV/atom.

Q: formation enthalpy at 0 K of number 3 (TmPaSn6)?
A: -0.32 eV/atom